The following is a DFT calculation (PBE-GGA) of Pu2Si3AgPt4 after structural relaxation.

Lattice parameters (Å, degrees): 4.0917 4.0917 10.9584 90.00 90.00 90.00
Sites, in units of the cell vectors:
Pu  0.0000  0.5000  0.2497
Pu  0.5000  0.0000  0.7503
Si  0.0000  0.0000  0.0000
Si  0.0000  0.5000  0.6254
Si  0.5000  0.0000  0.3746
Ag  0.5000  0.5000  0.0000
Pt  0.0000  0.0000  0.5000
Pt  0.0000  0.5000  0.8393
Pt  0.5000  0.0000  0.1607
Pt  0.5000  0.5000  0.5000

Output
* crystal system: tetragonal
* ΔE_f (raw): -0.7134 eV/atom
* total magnetic moment: 10.60 Bohr magnetons per cell
* symmetry: No. 115



The following is a DFT calculation (PBE-GGA) of OsPd2PtF after structural relaxation.

Lattice parameters (Å, degrees): 4.8640 4.8640 3.8133 90.00 90.00 90.00
Sites, in units of the cell vectors:
Os  0.0000  0.0000  0.0000
Pd  0.0000  0.5000  0.0000
Pd  0.5000  0.0000  0.0000
Pt  0.5000  0.5000  0.5000
F  0.0000  0.0000  0.5000

Output
* crystal system: tetragonal
* ΔE_f (raw): 0.7579 eV/atom
* total magnetic moment: 0.88 Bohr magnetons per cell
* symmetry: No. 123